Record 1
Below is a geometry-optimized TlNiOF2 structure, with properties calculated at the PBE+U level.

Geometry as POSCAR:
```
TlNiOF2
1.0
3.956 0.000 0.000
0.000 3.956 0.000
0.000 0.000 4.231
Ni Tl O F
1 1 1 2
Direct
0.000 0.000 0.000
0.500 0.500 0.500
0.000 0.000 0.500
0.000 0.500 0.000
0.500 0.000 0.000
```

## Properties
total magnetization = 2.25 μB/f.u.
offset from the most stable computed form = 0 meV/atom
N(E_F) = 2.0 states/eV per cell
space-group type = P4/mmm, No. 123

Record 2
Below is a geometry-optimized UNiO3F6 structure, with properties calculated at the PBE+U level.

Geometry as POSCAR:
```
UNiO3F6
1.0
3.726 5.185 0.736
-3.726 5.185 0.736
0.000 1.858 8.742
U Ni O F
2 2 6 12
Direct
0.350 0.650 0.750
0.650 0.350 0.250
0.500 0.000 0.000
0.000 0.500 0.500
0.828 0.930 0.973
0.070 0.172 0.527
0.172 0.070 0.027
0.930 0.828 0.473
0.091 0.909 0.750
0.909 0.091 0.250
0.472 0.286 0.833
0.714 0.528 0.667
0.528 0.714 0.167
0.286 0.472 0.333
0.504 0.849 0.826
0.151 0.496 0.674
0.496 0.151 0.174
0.849 0.504 0.326
0.417 0.776 0.509
0.224 0.583 0.991
0.583 0.224 0.491
0.776 0.417 0.009
```

## Properties
total magnetization = 5.97 μB/f.u.
E = -120.7 eV/cell
space-group type = C2/c, No. 15

Record 3
Below is a geometry-optimized NiWOF2 structure, with properties calculated at the PBE+U level.

Geometry as POSCAR:
```
NiWOF2
1.0
-0.866 -0.449 4.105
3.010 -2.939 0.314
2.765 2.928 0.904
Ni O W F
1 1 1 2
Direct
0.500 0.500 0.500
0.000 0.000 0.500
0.000 0.000 0.000
0.000 0.500 0.000
0.500 0.000 0.000
```

## Properties
total magnetization = 3.85 μB/f.u.
offset from the most stable computed form = 0 meV/atom
N(E_F) = 1.5 states/eV per cell
space-group type = P4/mmm, No. 123

Record 4
Below is a geometry-optimized NiWOF2 structure, with properties calculated at the PBE+U level.

Geometry as POSCAR:
```
NiWOF2
1.0
3.837 0.000 0.000
0.000 3.837 0.000
0.000 0.000 4.172
Ni O W F
1 1 1 2
Direct
0.000 0.000 0.000
0.000 0.000 0.500
0.500 0.500 0.500
0.000 0.500 0.000
0.500 0.000 0.000
```

## Properties
total magnetization = 4.84 μB/f.u.
offset from the most stable computed form = 457 meV/atom
N(E_F) = 1.1 states/eV per cell
space-group type = P4/mmm, No. 123

no.,V (Å³/atom)
1,13.24
2,14.89
3,14.69
4,12.28